[1]
Below is an optimized crystal structure of CaAsH2O4, with properties calculated at the PBE level.

Lattice parameters (Å, degrees): 4.566 4.860 4.860 73.72 61.98 61.98
Fractional coordinates of all 8 atoms:
H: 0.181 0.319 0.319
O: 0.412 0.188 0.431
O: 0.031 0.812 0.569
O: 0.969 0.431 0.188
As: 0.500 0.500 0.500
H: 0.819 0.681 0.681
O: 0.588 0.569 0.812
Ca: 0.000 0.000 0.000

Values from the calculation:
ρ = 3.59 g cm⁻³
Raw total energy = -44.24 eV/cell
Space-group type = No. 23
Total magnetic moment = 0.26 Bohr magnetons per cell

=====

[2]
Below is an optimized crystal structure of Ca5As4H10O20, with properties calculated at the PBE level.

Lattice parameters (Å, degrees): 10.679 10.679 10.349 84.24 84.24 54.88
Fractional coordinates of all 78 atoms:
Ca: 0.207 0.143 0.639
H: 0.691 0.275 0.515
As: 0.106 0.579 0.123
O: 0.709 0.322 0.431
O: 0.611 0.797 0.326
O: 0.442 0.410 0.830
As: 0.894 0.421 0.877
O: 0.389 0.203 0.674
H: 0.612 0.922 0.076
H: 0.388 0.078 0.924
O: 0.206 0.655 0.153
O: 0.928 0.676 0.203
Ca: 0.143 0.207 0.139
H: 0.654 0.470 0.733
O: 0.322 0.709 0.931
As: 0.900 0.270 0.417
As: 0.579 0.106 0.623
Ca: 0.400 0.234 0.315
H: 0.500 0.561 0.648
O: 0.404 0.919 0.541
H: 0.569 0.846 0.979
H: 0.431 0.154 0.021
O: 0.410 0.442 0.330
O: 0.081 0.596 0.959
O: 0.190 0.979 0.064
O: 0.829 0.654 0.528
O: 0.678 0.291 0.069
O: 0.346 0.171 0.972
O: 0.797 0.611 0.826
Ca: 0.103 0.897 0.250
H: 0.561 0.500 0.148
Ca: 0.793 0.857 0.361
H: 0.275 0.691 0.015
H: 0.309 0.725 0.485
Ca: 0.897 0.103 0.750
O: 0.852 0.998 0.205
O: 0.072 0.324 0.797
O: 0.919 0.404 0.041
H: 0.922 0.612 0.576
O: 0.590 0.558 0.670
H: 0.078 0.388 0.424
Ca: 0.766 0.600 0.185
O: 0.171 0.346 0.472
O: 0.998 0.852 0.705
O: 0.654 0.829 0.028
O: 0.894 0.433 0.371
O: 0.979 0.190 0.564
Ca: 0.234 0.400 0.815
O: 0.794 0.345 0.847
H: 0.530 0.346 0.767
O: 0.021 0.810 0.436
O: 0.002 0.148 0.295
O: 0.345 0.794 0.347
O: 0.291 0.678 0.569
H: 0.725 0.309 0.985
O: 0.558 0.590 0.170
H: 0.346 0.530 0.267
O: 0.148 0.002 0.795
Ca: 0.857 0.793 0.861
O: 0.203 0.389 0.174
As: 0.421 0.894 0.377
O: 0.676 0.928 0.703
O: 0.106 0.567 0.629
H: 0.470 0.654 0.233
As: 0.730 0.100 0.083
O: 0.324 0.072 0.297
H: 0.154 0.431 0.521
H: 0.500 0.439 0.352
O: 0.655 0.206 0.653
Ca: 0.600 0.766 0.685
O: 0.567 0.106 0.129
H: 0.439 0.500 0.852
O: 0.433 0.894 0.871
As: 0.270 0.900 0.917
O: 0.810 0.021 0.936
O: 0.596 0.081 0.459
H: 0.846 0.569 0.479
As: 0.100 0.730 0.583

Values from the calculation:
ρ = 2.87 g cm⁻³
Raw total energy = -459.70 eV/cell
Space-group type = No. 15
Total magnetic moment = 0.00 Bohr magnetons per cell

=====

[3]
Below is an optimized crystal structure of Ca4As3H9O16, with properties calculated at the PBE level.

Lattice parameters (Å, degrees): 10.336 5.895 23.172 83.03 90.00 90.00
Fractional coordinates of all 128 atoms:
As: 0.498 0.539 0.402
O: 0.086 0.286 0.059
O: 0.995 0.147 0.296
H: 0.269 0.904 0.270
O: 0.772 0.745 0.163
O: 0.730 0.341 0.816
As: 0.087 0.771 0.549
O: 0.282 0.139 0.214
O: 0.861 0.491 0.410
As: 0.587 0.229 0.951
O: 0.047 0.742 0.086
As: 0.998 0.461 0.098
Ca: 0.683 0.113 0.107
Ca: 0.146 0.994 0.142
O: 0.230 0.659 0.684
O: 0.074 0.189 0.439
H: 0.141 0.239 0.818
H: 0.710 0.415 0.852
H: 0.878 0.093 0.012
As: 0.002 0.539 0.902
Ca: 0.646 0.006 0.358
O: 0.834 0.459 0.083
O: 0.506 0.211 0.278
H: 0.122 0.907 0.988
O: 0.361 0.509 0.090
H: 0.290 0.585 0.148
O: 0.482 0.688 0.841
O: 0.639 0.491 0.910
O: 0.926 0.811 0.561
O: 0.728 0.227 0.699
O: 0.321 0.988 0.070
H: 0.731 0.096 0.730
O: 0.782 0.861 0.286
Ca: 0.817 0.113 0.607
O: 0.505 0.147 0.796
Ca: 0.728 0.673 0.998
O: 0.620 0.307 0.018
As: 0.502 0.461 0.598
O: 0.772 0.227 0.199
H: 0.359 0.239 0.318
H: 0.571 0.890 0.558
H: 0.867 0.264 0.192
O: 0.006 0.789 0.222
O: 0.348 0.026 0.458
O: 0.586 0.714 0.441
H: 0.367 0.736 0.308
Ca: 0.183 0.887 0.393
Ca: 0.354 0.994 0.642
O: 0.272 0.773 0.301
Ca: 0.272 0.327 0.002
H: 0.641 0.761 0.682
H: 0.378 0.907 0.488
H: 0.144 0.725 0.694
O: 0.718 0.861 0.786
O: 0.479 0.333 0.669
O: 0.179 0.988 0.570
O: 0.270 0.659 0.184
O: 0.518 0.312 0.159
Ca: 0.135 0.438 0.254
Ca: 0.854 0.006 0.858
O: 0.495 0.853 0.204
O: 0.228 0.255 0.837
H: 0.622 0.093 0.512
O: 0.494 0.789 0.722
H: 0.859 0.761 0.182
O: 0.666 0.459 0.583
O: 0.848 0.974 0.042
H: 0.714 0.636 0.634
O: 0.652 0.974 0.542
H: 0.214 0.364 0.866
H: 0.066 0.422 0.619
O: 0.821 0.012 0.430
O: 0.120 0.693 0.482
O: 0.228 0.773 0.801
H: 0.429 0.110 0.442
O: 0.018 0.688 0.341
H: 0.644 0.275 0.806
As: 0.413 0.771 0.049
As: 0.949 0.875 0.286
Ca: 0.317 0.887 0.893
Ca: 0.772 0.673 0.498
O: 0.218 0.139 0.714
H: 0.786 0.636 0.134
H: 0.133 0.736 0.808
O: 0.453 0.742 0.586
H: 0.934 0.578 0.381
Ca: 0.865 0.562 0.746
As: 0.449 0.125 0.214
O: 0.728 0.745 0.663
O: 0.574 0.811 0.061
H: 0.286 0.364 0.366
O: 0.334 0.541 0.417
O: 0.139 0.509 0.590
O: 0.021 0.333 0.169
H: 0.856 0.275 0.306
Ca: 0.228 0.327 0.502
H: 0.769 0.096 0.230
O: 0.880 0.307 0.518
H: 0.231 0.904 0.770
H: 0.790 0.415 0.352
As: 0.913 0.229 0.451
O: 0.521 0.667 0.331
H: 0.356 0.725 0.194
O: 0.982 0.312 0.659
As: 0.551 0.875 0.786
O: 0.994 0.211 0.778
O: 0.414 0.286 0.559
O: 0.380 0.693 0.982
O: 0.152 0.026 0.958
O: 0.914 0.714 0.941
Ca: 0.365 0.438 0.754
As: 0.051 0.125 0.714
O: 0.953 0.258 0.914
H: 0.566 0.578 0.881
O: 0.979 0.667 0.831
O: 0.005 0.853 0.704
O: 0.547 0.258 0.414
H: 0.071 0.110 0.942
O: 0.426 0.189 0.939
H: 0.929 0.890 0.058
H: 0.633 0.264 0.692
Ca: 0.635 0.562 0.246
O: 0.770 0.341 0.316
H: 0.434 0.422 0.119
O: 0.272 0.255 0.337
H: 0.210 0.585 0.648
O: 0.166 0.541 0.917
O: 0.679 0.012 0.930

Values from the calculation:
ρ = 3.08 g cm⁻³
Raw total energy = -747.64 eV/cell
Space-group type = No. 14
Total magnetic moment = 0.00 Bohr magnetons per cell

=====

[4]
Below is an optimized crystal structure of Ca2ZnAs2H4O10, with properties calculated at the PBE level.

Lattice parameters (Å, degrees): 5.666 5.989 7.093 108.39 97.03 109.72
Fractional coordinates of all 19 atoms:
O: 0.577 0.956 0.275
O: 0.906 0.239 0.044
Ca: 0.148 0.287 0.763
O: 0.782 0.347 0.619
As: 0.175 0.339 0.246
O: 0.858 0.837 0.605
H: 0.346 0.875 0.602
As: 0.825 0.661 0.754
O: 0.142 0.163 0.395
H: 0.654 0.125 0.398
O: 0.423 0.044 0.725
Ca: 0.852 0.713 0.237
O: 0.218 0.653 0.381
O: 0.094 0.761 0.956
H: 0.577 0.160 0.693
H: 0.423 0.840 0.307
O: 0.569 0.652 0.868
O: 0.431 0.348 0.132
Zn: 0.500 0.000 0.000

Values from the calculation:
ρ = 3.67 g cm⁻³
Raw total energy = -109.77 eV/cell
Space-group type = No. 2
Total magnetic moment = 0.00 Bohr magnetons per cell

=====

[5]
Below is an optimized crystal structure of CaAsHOs2, with properties calculated at the PBE level.

Lattice parameters (Å, degrees): 3.935 4.653 3.935 90.00 90.00 90.00
Fractional coordinates of all 5 atoms:
Os: 0.500 0.000 0.000
Os: 0.000 0.000 0.500
Ca: 0.500 0.500 0.500
H: 0.000 0.000 0.000
As: 0.000 0.500 0.000

Values from the calculation:
ρ = 11.44 g cm⁻³
Raw total energy = -30.18 eV/cell
Space-group type = No. 123
Total magnetic moment = 0.00 Bohr magnetons per cell

=====

[6]
Below is an optimized crystal structure of Ca5As2PH, with properties calculated at the PBE level.

Lattice parameters (Å, degrees): 4.245 8.815 11.964 90.00 90.00 103.93
Fractional coordinates of all 18 atoms:
H: 0.495 0.990 0.485
As: 0.885 0.770 0.190
As: 0.884 0.768 0.805
Ca: 0.299 0.597 0.347
Ca: 0.640 0.281 0.505
H: 0.505 0.010 0.985
Ca: 0.299 0.598 0.659
Ca: 0.966 0.932 0.544
Ca: 0.701 0.403 0.847
Ca: 0.505 0.011 0.787
As: 0.116 0.232 0.305
Ca: 0.360 0.719 0.005
P: 0.195 0.390 0.002
As: 0.115 0.230 0.690
Ca: 0.495 0.989 0.287
Ca: 0.034 0.068 0.044
P: 0.805 0.610 0.502
Ca: 0.701 0.402 0.159

Values from the calculation:
ρ = 2.92 g cm⁻³
Raw total energy = -74.62 eV/cell
Space-group type = No. 36
Total magnetic moment = 0.00 Bohr magnetons per cell